(1)
Material: Ta2MoCl
Method: DFT, GGA-PBE
State: optimized geometry

```
Ta2MoCl
1.0
4.996 -0.032 0.022
-1.383 4.800 0.022
0.498 0.658 2.891
Cl Mo Ta
1 1 2
direct
0.500 0.000 0.500 Cl
0.000 0.500 0.500 Mo
0.000 0.000 0.000 Ta
0.500 0.500 0.000 Ta
```

Summary:
The raw formation energy is 0.5202 eV per atom. The density of states at the Fermi level is 2.82 states/eV/cell.

(2)
Material: TlOsCl6
Method: DFT, GGA-PBE
State: optimized geometry

```
TlOsCl6
1.0
6.818 0.000 0.000
3.409 5.904 0.000
3.409 1.968 6.200
Tl Os Cl
1 1 6
direct
0.500 0.500 0.500 Tl
0.000 0.000 0.000 Os
0.912 0.912 0.783 Cl
0.392 0.912 0.783 Cl
0.088 0.608 0.217 Cl
0.608 0.088 0.217 Cl
0.088 0.088 0.217 Cl
0.912 0.392 0.783 Cl
```

Summary:
The raw formation energy is -0.5675 eV per atom.

(3)
Material: K3Np2NiTe6
Method: DFT, GGA-PBE
State: optimized geometry

```
K3Np2NiTe6
1.0
-2.889 -2.487 -6.618
-3.628 -1.484 6.555
-2.053 8.303 -0.748
K Np Ni Te
3 2 1 6
direct
0.172 0.828 0.500 K
0.828 0.172 0.500 K
0.500 0.500 0.500 K
0.334 0.666 0.000 Np
0.666 0.334 0.000 Np
0.000 0.000 0.000 Ni
0.935 0.622 0.803 Te
0.754 0.754 0.199 Te
0.065 0.378 0.197 Te
0.622 0.935 0.803 Te
0.246 0.246 0.801 Te
0.378 0.065 0.197 Te
```

Summary:
The raw formation energy is -0.6757 eV per atom. The density of states at the Fermi level is 12.84 states/eV/cell.

(4)
Material: PmPrNd4Ho2
Method: DFT, GGA-PBE
State: optimized geometry

```
PmPrNd4Ho2
1.0
-2.941 -0.737 2.036
-2.350 -3.512 -4.665
4.681 -10.750 2.870
Pm Pr Nd Ho
1 1 4 2
direct
0.000 0.500 0.500 Pm
0.500 0.500 0.000 Pr
0.000 0.752 0.747 Nd
0.000 0.248 0.253 Nd
0.500 0.751 0.249 Nd
0.500 0.249 0.751 Nd
0.000 0.000 0.000 Ho
0.500 0.000 0.500 Ho
```

Summary:
The calculation puts the formation energy at 0.016 eV/atom. The density of states at the Fermi level is 11.63 states/eV/cell.

(5)
Material: KRe2O7
Method: DFT, GGA-PBE
State: optimized geometry

```
KRe2O7
1.0
-1.849 -1.644 -2.910
3.103 -5.041 0.877
-5.179 0.637 2.930
K Re O
1 2 7
direct
0.000 0.000 0.000 K
0.500 0.692 0.308 Re
0.500 0.308 0.692 Re
0.000 0.692 0.308 O
0.000 0.308 0.692 O
0.500 0.037 0.334 O
0.500 0.963 0.666 O
0.500 0.334 0.037 O
0.500 0.666 0.963 O
0.500 0.500 0.500 O
```

Summary:
The raw formation energy is -1.5351 eV per atom. The density of states at the Fermi level is 2.40 states/eV/cell.

(6)
Material: LuPu2Th
Method: DFT, GGA-PBE
State: optimized geometry

```
LuPu2Th
1.0
3.458 0.000 0.000
0.000 3.458 0.000
0.000 0.000 9.565
Lu Th Pu
1 1 2
direct
0.500 0.500 0.500 Lu
0.500 0.500 0.000 Th
0.000 0.000 0.755 Pu
0.000 0.000 0.245 Pu
```

Summary:
The calculation puts the formation energy at 0.159 eV/atom. The density of states at the Fermi level is 12.05 states/eV/cell.

(7)
Material: Rb2BiSb
Method: DFT, GGA-PBE
State: optimized geometry

```
Rb2BiSb
1.0
-2.753 3.185 -4.930
6.030 -0.907 -3.953
-3.606 -6.024 -1.878
Rb Bi Sb
4 2 2
direct
0.750 0.967 0.330 Rb
0.250 0.033 0.670 Rb
0.250 0.670 0.033 Rb
0.750 0.330 0.967 Rb
0.500 0.500 0.500 Bi
0.000 0.500 0.500 Bi
0.250 0.198 0.198 Sb
0.750 0.802 0.802 Sb
```

Summary:
The raw formation energy is -0.2843 eV per atom. The density of states at the Fermi level is 10.59 states/eV/cell.

(8)
Material: CsMoPbCl6
Method: DFT, GGA-PBE
State: optimized geometry

```
CsMoPbCl6
1.0
7.144 0.000 0.000
3.572 6.187 0.000
0.000 -0.001 7.542
Cs Mo Pb Cl
1 1 1 6
direct
0.000 0.000 0.000 Cs
0.333 0.333 0.500 Mo
0.667 0.667 0.500 Pb
0.047 0.346 0.308 Cl
0.346 0.047 0.692 Cl
0.607 0.346 0.692 Cl
0.047 0.607 0.692 Cl
0.346 0.607 0.308 Cl
0.607 0.047 0.308 Cl
```

Summary:
The raw formation energy is -1.2329 eV per atom.